Below is a relaxed AcPrEuAg crystal, with properties calculated at the PBE level.

Properties
Its total energy is -5.3419 eV/atom. The formation enthalpy at 0 K is 0.162 eV per atom. The size of the total moment is 8.06 μB/f.u.

abc: 8.0998 8.0998 8.0998
angles: 90.00 90.00 90.00
Closest atoms and distances in Å follow each position.
Fractional coordinates of all 16 atoms:
Ac  0.0000  0.0000  0.0000  4 Eu 3.51, 4 Pr 3.51
Ac  0.0000  0.5000  0.5000  4 Eu 3.51, 4 Pr 3.51
Ac  0.5000  0.0000  0.5000  4 Eu 3.51, 4 Pr 3.51
Ac  0.5000  0.5000  0.0000  4 Eu 3.51, 4 Pr 3.51
Pr  0.2500  0.2500  0.7500  4 Ac 3.51, 4 Ag 3.51
Pr  0.2500  0.7500  0.2500  4 Ac 3.51, 4 Ag 3.51
Pr  0.7500  0.2500  0.2500  4 Ac 3.51, 4 Ag 3.51
Pr  0.7500  0.7500  0.7500  4 Ag 3.51, 4 Ac 3.51
Eu  0.2500  0.2500  0.2500  4 Ac 3.51, 4 Ag 3.51
Eu  0.2500  0.7500  0.7500  4 Ac 3.51, 4 Ag 3.51
Eu  0.7500  0.2500  0.7500  4 Ac 3.51, 4 Ag 3.51
Eu  0.7500  0.7500  0.2500  4 Ac 3.51, 4 Ag 3.51
Ag  0.0000  0.0000  0.5000  4 Pr 3.51, 4 Eu 3.51
Ag  0.0000  0.5000  0.0000  4 Pr 3.51, 4 Eu 3.51
Ag  0.5000  0.0000  0.0000  4 Pr 3.51, 4 Eu 3.51
Ag  0.5000  0.5000  0.5000  4 Pr 3.51, 4 Eu 3.51

Below is a relaxed Zr2PdPb crystal, with properties calculated at the PBE level.

Properties
Its total energy is -6.6027 eV/atom. The formation enthalpy at 0 K is -0.103 eV per atom. The size of the total moment is 0.00 μB/f.u.

abc: 7.7889 7.7889 6.0228
angles: 90.00 90.00 90.00
Closest atoms and distances in Å follow each position.
Fractional coordinates of all 16 atoms:
Zr  0.2187  0.7500  0.1250  2 Pd 2.69
Zr  0.2500  0.2187  0.8750  2 Pd 2.69
Zr  0.2500  0.2813  0.3750  2 Pd 2.69
Zr  0.2813  0.7500  0.6250  2 Pd 2.69
Zr  0.7187  0.2500  0.6250  2 Pd 2.69
Zr  0.7500  0.7187  0.3750  2 Pd 2.69
Zr  0.7500  0.7813  0.8750  2 Pd 2.69
Zr  0.7813  0.2500  0.1250  2 Pd 2.69
Pd  0.0000  0.0000  0.0000  4 Zr 2.69, 2 Pb 3.01
Pd  0.0000  0.5000  0.2500  4 Zr 2.69, 2 Pb 3.01
Pd  0.5000  0.0000  0.7500  4 Zr 2.69, 2 Pb 3.01
Pd  0.5000  0.5000  0.5000  4 Zr 2.69, 2 Pb 3.01
Pb  0.0000  0.0000  0.5000  2 Pd 3.01, 4 Zr 3.03
Pb  0.0000  0.5000  0.7500  2 Pd 3.01, 4 Zr 3.03
Pb  0.5000  0.0000  0.2500  2 Pd 3.01, 4 Zr 3.03
Pb  0.5000  0.5000  0.0000  2 Pd 3.01, 4 Zr 3.03

Below is a relaxed MgPdS crystal, with properties calculated at the PBE level.

Properties
Its total energy is -4.3174 eV/atom. The calculation puts the formation energy from raw total energies at -0.6791 eV per atom. The size of the total moment is 0.00 μB/f.u.

abc: 4.5449 4.9572 5.1978
angles: 87.60 72.25 75.41
Closest atoms and distances in Å follow each position.
Fractional coordinates of all 6 atoms:
Mg  0.0000  0.0000  0.0000  4 S 2.57-2.65, 1 Pd 2.81
Mg  0.2058  0.4535  0.4392  4 S 2.57-2.65, 1 Pd 2.81
Pd  0.5626  0.8669  0.4681  2 S 2.36-2.38
Pd  0.6415  0.5871  0.9691  2 S 2.36-2.38
S  0.0097  0.0050  0.5030  2 Pd 2.36-2.38, 3 Mg 2.57-2.63
S  0.1932  0.4492  0.9373  2 Pd 2.36-2.38, 3 Mg 2.57-2.63

Below is a relaxed CdIn6Hg5 crystal, with properties calculated at the PBE level.

Properties
Its total energy is -1.5407 eV/atom. The formation enthalpy at 0 K is 0.031 eV per atom. The size of the total moment is 0.00 μB/f.u.

abc: 9.9796 9.9796 3.5657
angles: 97.37 97.37 104.84
Closest atoms and distances in Å follow each position.
Fractional coordinates of all 12 atoms:
Cd  0.0000  0.0000  0.0000  2 In 3.00, 4 Hg 3.11
In  0.0832  0.4167  0.7532  2 Hg 2.99, 4 In 3.17-3.20
In  0.2510  0.2510  0.2599  1 Hg 2.97, 1 Cd 3.00, 4 In 3.17-3.20
In  0.4167  0.0832  0.7532  2 Hg 2.99, 4 In 3.17-3.20
In  0.5833  0.9168  0.2468  2 Hg 2.99, 4 In 3.17-3.20
In  0.7490  0.7490  0.7401  1 Hg 2.97, 1 Cd 3.00, 4 In 3.17-3.20
In  0.9168  0.5833  0.2468  2 Hg 2.99, 4 In 3.17-3.20
Hg  0.1609  0.8391  0.5000  2 In 2.99, 2 Cd 3.11, 2 Hg 3.21
Hg  0.3295  0.6705  0.0000  2 In 2.99, 4 Hg 3.21-3.23
Hg  0.5000  0.5000  0.5000  2 In 2.97, 4 Hg 3.23
Hg  0.6705  0.3295  0.0000  2 In 2.99, 4 Hg 3.21-3.23
Hg  0.8391  0.1609  0.5000  2 In 2.99, 2 Cd 3.11, 2 Hg 3.21

Below is a relaxed CuIr2 crystal, with properties calculated at the PBE level.

Properties
The energy relative to the lowest polymorph listed for this composition is 0.077 eV/atom. Its total energy is -7.1351 eV/atom. The formation enthalpy at 0 K is 0.138 eV per atom. The size of the total moment is 0.00 μB/f.u.

abc: 3.8062 11.4846 3.7972
angles: 90.00 90.00 90.00
Closest atoms and distances in Å follow each position.
Fractional coordinates of all 12 atoms:
Cu  0.0000  0.0793  0.2500  2 Cu 2.63, 10 Ir 2.67-2.77
Cu  0.0000  0.9207  0.7500  2 Cu 2.63, 10 Ir 2.67-2.77
Cu  0.5000  0.4207  0.7500  2 Cu 2.63, 10 Ir 2.67-2.77
Cu  0.5000  0.5793  0.2500  2 Cu 2.63, 10 Ir 2.67-2.77
Ir  0.0000  0.2455  0.7500  8 Ir 2.66-2.73, 4 Cu 2.69-2.77
Ir  0.0000  0.4168  0.2500  6 Ir 2.66-2.73, 6 Cu 2.67-2.69
Ir  0.0000  0.5832  0.7500  6 Ir 2.66-2.73, 6 Cu 2.67-2.69
Ir  0.0000  0.7545  0.2500  8 Ir 2.66-2.73, 4 Cu 2.69-2.77
Ir  0.5000  0.0832  0.7500  6 Ir 2.66-2.73, 6 Cu 2.67-2.69
Ir  0.5000  0.2545  0.2500  8 Ir 2.66-2.73, 4 Cu 2.69-2.77
Ir  0.5000  0.7455  0.7500  8 Ir 2.66-2.73, 4 Cu 2.69-2.77
Ir  0.5000  0.9168  0.2500  6 Ir 2.66-2.73, 6 Cu 2.67-2.69

Below is a relaxed Li2ScBiRh crystal, with properties calculated at the PBE level.

Properties
Its total energy is -4.2993 eV/atom. The formation enthalpy at 0 K is -0.021 eV per atom. The size of the total moment is 0.00 μB/f.u.

abc: 4.5382 4.5382 5.1990
angles: 90.00 90.00 90.00
Closest atoms and distances in Å follow each position.
Fractional coordinates of all 5 atoms:
Li  0.0000  0.5000  0.0000  2 Rh 2.27
Li  0.5000  0.0000  0.0000  2 Rh 2.27
Sc  0.0000  0.0000  0.5000  4 Bi 3.21, 8 Li 3.45
Bi  0.5000  0.5000  0.5000  2 Rh 2.60
Rh  0.5000  0.5000  0.0000  4 Li 2.27

Below is a relaxed Y2Cd2I crystal, with properties calculated at the PBE level.

Properties
The energy relative to the lowest polymorph listed for this composition is 0.000 eV/atom. Its total energy is -3.6386 eV/atom. The calculation puts the formation energy from raw total energies at -0.3769 eV per atom. The size of the total moment is 0.00 μB/f.u.

abc: 8.1088 8.1088 4.4887
angles: 90.00 90.00 90.00
Closest atoms and distances in Å follow each position.
Fractional coordinates of all 10 atoms:
Y  0.1594  0.3406  0.0000  2 I 3.05, 6 Cd 3.27
Y  0.3406  0.8406  0.0000  2 I 3.05, 6 Cd 3.27
Y  0.6594  0.1594  0.0000  2 I 3.05, 6 Cd 3.27
Y  0.8406  0.6594  0.0000  2 I 3.05, 6 Cd 3.27
Cd  0.1334  0.6334  0.5000  1 Cd 3.06, 6 Y 3.27
Cd  0.3666  0.1334  0.5000  1 Cd 3.06, 6 Y 3.27
Cd  0.6334  0.8666  0.5000  1 Cd 3.06, 6 Y 3.27
Cd  0.8666  0.3666  0.5000  1 Cd 3.06, 6 Y 3.27
I  0.0000  0.0000  0.0000  4 Y 3.05
I  0.5000  0.5000  0.0000  4 Y 3.05

Below is a relaxed MnTc2C2 crystal, with properties calculated at the PBE level.

Properties
The energy relative to the lowest polymorph listed for this composition is 0.011 eV/atom. Its total energy is -8.7187 eV/atom. The formation enthalpy at 0 K is 0.951 eV per atom. The size of the total moment is 2.82 μB/f.u.

abc: 6.3283 6.3283 2.6914
angles: 90.00 90.00 90.00
Closest atoms and distances in Å follow each position.
Fractional coordinates of all 10 atoms:
Mn  0.0000  0.0000  0.0000  4 Tc 2.43, 2 Mn 2.69
Mn  0.5000  0.5000  0.0000  4 Tc 2.43, 2 Mn 2.69
Tc  0.1433  0.3567  0.0000  6 C 2.29, 2 Mn 2.43
Tc  0.3567  0.8567  0.0000  6 C 2.29, 2 Mn 2.43
Tc  0.6433  0.1433  0.0000  6 C 2.29, 2 Mn 2.43
Tc  0.8567  0.6433  0.0000  6 C 2.29, 2 Mn 2.43
C  0.1493  0.6493  0.5000  6 Tc 2.29
C  0.3507  0.1493  0.5000  6 Tc 2.29
C  0.6493  0.8507  0.5000  6 Tc 2.29
C  0.8507  0.3507  0.5000  6 Tc 2.29

Below is a relaxed TbDy6Tl5 crystal, with properties calculated at the PBE level.

Properties
The energy relative to the lowest polymorph listed for this composition is 0.000 eV/atom. Its total energy is -3.9459 eV/atom. The formation enthalpy at 0 K is -0.273 eV per atom. The size of the total moment is 0.00 μB/f.u.

abc: 9.1390 9.1390 9.1390
angles: 148.18 122.38 67.34
Closest atoms and distances in Å follow each position.
Fractional coordinates of all 12 atoms:
Tb  0.0000  0.0000  0.0000  4 Tl 3.37, 8 Dy 3.48
Dy  0.0938  0.8298  0.2640  7 Tl 3.26-3.46, 1 Tb 3.48, 4 Dy 3.50-3.60
Dy  0.2737  0.5000  0.7737  6 Tl 3.20-3.38, 2 Tb 3.48
Dy  0.4342  0.1702  0.2640  7 Tl 3.26-3.46, 1 Tb 3.48, 4 Dy 3.50-3.60
Dy  0.5658  0.8298  0.7360  7 Tl 3.26-3.46, 1 Tb 3.48, 4 Dy 3.50-3.60
Dy  0.7263  0.5000  0.2263  6 Tl 3.20-3.38, 2 Tb 3.48
Dy  0.9062  0.1702  0.7360  7 Tl 3.26-3.46, 1 Tb 3.48, 4 Dy 3.50-3.60
Tl  0.1477  0.6477  0.5000  8 Dy 3.30-3.46, 2 Tb 3.37, 2 Tl 3.63
Tl  0.3204  0.3204  0.0000  8 Dy 3.26-3.38, 2 Tl 3.63
Tl  0.5000  0.0000  0.5000  8 Dy 3.20-3.32
Tl  0.6796  0.6796  0.0000  8 Dy 3.26-3.38, 2 Tl 3.63
Tl  0.8523  0.3523  0.5000  8 Dy 3.30-3.46, 2 Tb 3.37, 2 Tl 3.63

Below is a relaxed Tl2CrFe crystal, with properties calculated at the PBE level.

Properties
The energy relative to the lowest polymorph listed for this composition is 0.285 eV/atom. Its total energy is -4.9328 eV/atom. The formation enthalpy at 0 K is 0.772 eV per atom. The size of the total moment is 4.09 μB/f.u.

abc: 6.5988 6.5988 6.5988
angles: 90.00 90.00 90.00
Closest atoms and distances in Å follow each position.
Fractional coordinates of all 16 atoms:
Tl  0.2500  0.2500  0.2500  4 Cr 2.86, 4 Fe 2.86
Tl  0.2500  0.2500  0.7500  4 Cr 2.86, 4 Fe 2.86
Tl  0.2500  0.7500  0.2500  4 Cr 2.86, 4 Fe 2.86
Tl  0.2500  0.7500  0.7500  4 Cr 2.86, 4 Fe 2.86
Tl  0.7500  0.2500  0.2500  4 Cr 2.86, 4 Fe 2.86
Tl  0.7500  0.2500  0.7500  4 Cr 2.86, 4 Fe 2.86
Tl  0.7500  0.7500  0.2500  4 Cr 2.86, 4 Fe 2.86
Tl  0.7500  0.7500  0.7500  4 Cr 2.86, 4 Fe 2.86
Cr  0.0000  0.0000  0.0000  8 Tl 2.86
Cr  0.0000  0.5000  0.5000  8 Tl 2.86
Cr  0.5000  0.0000  0.5000  8 Tl 2.86
Cr  0.5000  0.5000  0.0000  8 Tl 2.86
Fe  0.0000  0.0000  0.5000  8 Tl 2.86
Fe  0.0000  0.5000  0.0000  8 Tl 2.86
Fe  0.5000  0.0000  0.0000  8 Tl 2.86
Fe  0.5000  0.5000  0.5000  8 Tl 2.86

Below is a relaxed NiTeCl crystal, with properties calculated at the PBE level.

Properties
Its total energy is -3.5506 eV/atom. The calculation puts the formation energy from raw total energies at 0.0393 eV per atom. The size of the total moment is 0.00 μB/f.u.

abc: 3.2217 3.2217 11.7676
angles: 90.00 90.00 90.00
Closest atoms and distances in Å follow each position.
Fractional coordinates of all 6 atoms:
Ni  0.0000  0.0000  0.0000  4 Te 2.66, 4 Cl 2.85
Ni  0.5000  0.5000  0.5000  4 Te 2.66, 4 Cl 2.85
Te  0.0000  0.0000  0.6171  4 Ni 2.66
Te  0.5000  0.5000  0.1171  4 Ni 2.66
Cl  0.0000  0.0000  0.3551  4 Ni 2.85, 1 Te 3.08
Cl  0.5000  0.5000  0.8551  4 Ni 2.85, 1 Te 3.08

Below is a relaxed Sr2CaFe2 crystal, with properties calculated at the PBE level.

Properties
The energy relative to the lowest polymorph listed for this composition is 0.000 eV/atom. Its total energy is -4.0011 eV/atom. The formation enthalpy at 0 K is 0.457 eV per atom. The size of the total moment is 5.30 μB/f.u.

abc: 3.5838 3.5838 23.8019
angles: 90.00 90.00 90.00
Closest atoms and distances in Å follow each position.
Fractional coordinates of all 10 atoms:
Sr  0.0000  0.0000  0.1391  4 Fe 3.19
Sr  0.0000  0.0000  0.8609  4 Fe 3.19
Sr  0.5000  0.5000  0.3609  4 Fe 3.19
Sr  0.5000  0.5000  0.6391  4 Fe 3.19
Ca  0.0000  0.0000  0.5000  4 Ca 3.58
Ca  0.5000  0.5000  0.0000  4 Ca 3.58
Fe  0.0000  0.5000  0.2500  4 Fe 2.53
Fe  0.0000  0.5000  0.7500  4 Fe 2.53
Fe  0.5000  0.0000  0.2500  4 Fe 2.53
Fe  0.5000  0.0000  0.7500  4 Fe 2.53